Arrangement 1

Compound: CoMoO2
Source: Alexandria via LeMat-Bulk
Functional: GGA+U
Structure: relaxed

abc: 3.8139 3.8139 6.5965
angles: 73.20 73.20 90.00
Closest atoms and distances in Å follow each position.
Fractional coordinates of all 8 atoms:
Co1 0.2500 0.7500 0.5000  4 O 2.01
Co2 0.5000 0.5000 0.0000  4 O 2.01
O1 0.1292 0.6250 0.2500  2 Co 2.01, 2 Mo 2.03
O2 0.6208 0.1250 0.2500  2 Co 2.01, 2 Mo 2.03
O3 0.8750 0.8708 0.7500  2 Co 2.01, 2 Mo 2.03
O4 0.3750 0.3792 0.7500  2 Co 2.01, 2 Mo 2.03
Mo1 0.0000 0.0000 0.0000  4 O 2.03
Mo2 0.7500 0.2500 0.5000  4 O 2.03



Arrangement 2

Compound: CoMoO2
Source: Alexandria via LeMat-Bulk
Functional: GGA+U
Structure: relaxed

abc: 6.7173 6.7173 6.7173
angles: 24.51 24.51 24.51
Closest atoms and distances in Å follow each position.
Fractional coordinates of all 4 atoms:
O1 0.0957 0.0957 0.0957  1 Co 1.87
O2 0.9043 0.9043 0.9043  1 Co 1.87
Co1 0.0000 0.0000 0.0000  2 O 1.87
Mo1 0.5000 0.5000 0.5000  6 O 2.15



Stability summary - winner: arrangement 2; margin: 468 meV/atom.